Compound: Al6Ga2Ag
Source: the Alexandria database
Functional: PBE
Structure: optimized geometry

Output
The density of states at the Fermi level is 3.50 states/eV/cell. The energy relative to the elements comes out at 104 meV per atom. The value obtained for the total moment is 0.0 Bohr magnetons per cell. As for the space group: No. 12. Its total DFT energy (no corrections) is -30.42 eV per formula unit. As for the energy above the most stable polymorph in this dataset: 25.5 meV/atom.

a = 4.3224 Å, b = 5.7667 Å, c = 8.6843 Å
α = 57.65°, β = 75.59°, γ = 67.99°
Closest atoms and distances in Å follow each position.
Sites, in units of the cell vectors:
1 Ga 0.2685 0.7910 0.6720  6 Al 2.77-3.09
2 Ga 0.7315 0.2090 0.3280  6 Al 2.77-3.09
3 Al 0.9399 0.2638 0.8563  1 Ag 2.62, 6 Al 2.66-2.84
4 Al 0.5714 0.1952 0.6621  3 Al 2.65-2.84, 2 Ag 2.65, 1 Ga 2.77
5 Al 0.6772 0.6852 0.9604  6 Al 2.65-2.79, 1 Ga 2.88
6 Al 0.3228 0.3148 0.0396  6 Al 2.65-2.79, 1 Ga 2.88
7 Al 0.4286 0.8048 0.3379  3 Al 2.65-2.84, 2 Ag 2.65, 1 Ga 2.77
8 Al 0.0601 0.7362 0.1437  1 Ag 2.62, 6 Al 2.66-2.84
9 Ag 0.0000 0.5000 0.5000  6 Al 2.62-2.65



Compound: Dy6AlCd5
Source: the Alexandria database
Functional: PBE
Structure: optimized geometry

Output
The density of states at the Fermi level is 12.75 states/eV/cell. The energy relative to the elements comes out at -332 meV per atom. The value obtained for the total moment is 0.0 Bohr magnetons per cell. As for the space group: No. 65. Its total DFT energy (no corrections) is -39.92 eV per formula unit.

a = 5.2502 Å, b = 7.4695 Å, c = 8.3121 Å
α = 90.00°, β = 71.62°, γ = 90.00°
Closest atoms and distances in Å follow each position.
Sites, in units of the cell vectors:
1 Cd 0.6670 0.5000 0.6661  8 Dy 3.24-3.28
2 Cd 0.0000 0.5000 0.0000  8 Dy 3.20-3.25
3 Cd 0.3330 0.5000 0.3339  8 Dy 3.24-3.28
4 Cd 0.3313 0.0000 0.3380  8 Dy 3.21-3.23
5 Cd 0.6687 0.0000 0.6620  8 Dy 3.21-3.23
6 Dy 0.1635 0.7534 0.6727  1 Al 3.17, 7 Cd 3.20-3.28
7 Dy 0.1635 0.2466 0.6727  1 Al 3.17, 7 Cd 3.20-3.28
8 Dy 0.5000 0.2430 0.0000  2 Al 3.19, 6 Cd 3.23-3.26
9 Dy 0.8365 0.2466 0.3273  1 Al 3.17, 7 Cd 3.20-3.28
10 Dy 0.5000 0.7570 0.0000  2 Al 3.19, 6 Cd 3.23-3.26
11 Dy 0.8365 0.7534 0.3273  1 Al 3.17, 7 Cd 3.20-3.28
12 Al 0.0000 0.0000 0.0000  8 Dy 3.17-3.19



Compound: Er8TlBi2
Source: the Alexandria database
Functional: PBE
Structure: optimized geometry

Output
The density of states at the Fermi level is 12.68 states/eV/cell. The energy relative to the elements comes out at -288 meV per atom. The value obtained for the total moment is 0.0 Bohr magnetons per cell. As for the space group: No. 12. Its total DFT energy (no corrections) is -49.80 eV per formula unit.

a = 5.1629 Å, b = 6.8997 Å, c = 9.4779 Å
α = 87.60°, β = 105.81°, γ = 90.00°
Closest atoms and distances in Å follow each position.
Sites, in units of the cell vectors:
1 Bi 0.8381 0.1733 0.6763  6 Er 3.16-3.45
2 Bi 0.1619 0.8267 0.3237  6 Er 3.16-3.45
3 Er 0.0317 0.2533 0.0633  2 Tl 3.18, 4 Er 3.47-3.55
4 Er 0.5916 0.5596 0.1831  1 Tl 3.40, 9 Er 3.43-3.62, 2 Bi 3.45
5 Er 0.4084 0.4404 0.8169  1 Tl 3.40, 9 Er 3.43-3.62, 2 Bi 3.45
6 Er 0.9683 0.7467 0.9367  2 Tl 3.18, 4 Er 3.47-3.55
7 Er 0.3368 0.9084 0.6736  1 Tl 3.07, 3 Bi 3.16-3.26, 3 Er 3.41-3.43
8 Er 0.6632 0.0916 0.3264  1 Tl 3.07, 3 Bi 3.16-3.26, 3 Er 3.41-3.43
9 Er 0.7861 0.6204 0.5721  1 Bi 3.19, 5 Er 3.37-3.47
10 Er 0.2139 0.3796 0.4279  1 Bi 3.19, 5 Er 3.37-3.47
11 Tl 0.5000 0.0000 0.0000  8 Er 3.07-3.40



Compound: La4SiPdI2
Source: the Alexandria database
Functional: PBE
Structure: optimized geometry

Output
The density of states at the Fermi level is 8.29 states/eV/cell. The value obtained for the total moment is 0.0 Bohr magnetons per cell. As for the space group: No. 10. Its total DFT energy (no corrections) is -40.97 eV per formula unit. The value obtained for the uncorrected formation energy is -0.94 eV per atom.

a = 4.3034 Å, b = 7.8604 Å, c = 8.1110 Å
α = 107.13°, β = 90.00°, γ = 90.00°
Closest atoms and distances in Å follow each position.
Sites, in units of the cell vectors:
1 La 0.5000 0.2299 0.2066  2 Si 2.99, 1 Pd 3.07
2 La 0.0000 0.7300 0.1976  2 Pd 2.96, 1 Si 3.01
3 La 0.5000 0.7701 0.7934  2 Si 2.99, 1 Pd 3.07
4 La 0.0000 0.2700 0.8024  2 Pd 2.96, 1 Si 3.01
5 Pd 0.5000 0.5000 0.0000  6 La 2.96-3.07
6 Si 0.0000 0.0000 0.0000  6 La 2.99-3.01
7 I 0.0000 0.5000 0.5000  6 La 3.44-3.45
8 I 0.5000 0.0000 0.5000  6 La 3.39-3.48



Compound: Ac3Tm2Ag2Pb4
Source: the Alexandria database
Functional: PBE
Structure: optimized geometry

Output
The density of states at the Fermi level is 5.24 states/eV/cell. The energy relative to the elements comes out at -393 meV per atom. The value obtained for the total moment is 0.0 Bohr magnetons per cell. As for the space group: No. 164. Its total DFT energy (no corrections) is -46.12 eV per formula unit.

a = 5.0250 Å, b = 5.0250 Å, c = 16.5652 Å
α = 90.00°, β = 90.00°, γ = 120.00°
Closest atoms and distances in Å follow each position.
Sites, in units of the cell vectors:
1 Tm 0.3333 0.6667 0.5686  4 Pb 3.06-3.25
2 Tm 0.6667 0.3333 0.4314  4 Pb 3.06-3.25
3 Ac 0.0000 0.0000 0.0000  6 Ag 3.52, 6 Pb 3.60
4 Ac 0.0000 0.0000 0.2522  6 Pb 3.52-3.55, 3 Ag 3.63
5 Ac 0.0000 0.0000 0.7478  6 Pb 3.52-3.55, 3 Ag 3.63
6 Pb 0.6667 0.3333 0.6276  4 Tm 3.06-3.25
7 Pb 0.6667 0.3333 0.1284  3 Ag 2.90
8 Pb 0.3333 0.6667 0.8716  3 Ag 2.90
9 Pb 0.3333 0.6667 0.3724  4 Tm 3.06-3.25
10 Ag 0.6667 0.3333 0.8797  3 Pb 2.90
11 Ag 0.3333 0.6667 0.1203  3 Pb 2.90



Compound: GaN2OF
Source: the Alexandria database
Functional: PBE
Structure: optimized geometry

Output
The density of states at the Fermi level is 1.93 states/eV/cell. The value obtained for the total moment is 0.9 Bohr magnetons per cell. As for the space group: No. 123. Its total DFT energy (no corrections) is -16.63 eV per formula unit. The value obtained for the uncorrected formation energy is 1.98 eV per atom.

a = 3.3421 Å, b = 3.3421 Å, c = 5.2023 Å
α = 90.00°, β = 90.00°, γ = 90.00°
Closest atoms and distances in Å follow each position.
Sites, in units of the cell vectors:
1 F 0.0000 0.0000 0.0000  4 N 1.67
2 N 0.5000 0.0000 0.0000  2 F 1.67
3 N 0.0000 0.5000 0.0000  2 F 1.67
4 O 0.0000 0.0000 0.5000  4 Ga 2.36, 2 F 2.60
5 Ga 0.5000 0.5000 0.5000  4 O 2.36



Which value of total moment does entry 6 give? 0.9 Bohr magnetons per cell